# Y2BeBiB, relaxed, DFT PBE-GGA
# Calculated total energy: -5.794 eV/atom
# Energy relative to the elements: -170 kJ/mol of formula units
data_Y2BeBiB
_space_group_name_H-M_alt 'P 1'
_space_group_IT_number 1
_space_group_name_Hall 'P 1'
_cell_length_a 5.208
_cell_length_b 3.872
_cell_length_c 5.208
_cell_angle_alpha 90.00
_cell_angle_beta 90.00
_cell_angle_gamma 90.00
loop_
_atom_site_label
_atom_site_fract_x
_atom_site_fract_y
_atom_site_fract_z
Y1 0.000 0.000 0.500
Y2 0.500 0.000 0.000
Be1 0.000 0.500 0.000
B1 0.000 0.000 0.000
Bi1 0.500 0.500 0.500

# Ba4Te2IBr, relaxed, DFT PBE-GGA
# Calculated total energy: -3.777 eV/atom
# ΔE_f (raw): -1.6273 eV/atom
data_Ba4Te2IBr
_space_group_name_H-M_alt 'P 1'
_space_group_IT_number 1
_space_group_name_Hall 'P 1'
_cell_length_a 6.969
_cell_length_b 6.969
_cell_length_c 8.510
_cell_angle_alpha 114.16
_cell_angle_beta 114.16
_cell_angle_gamma 90.02
loop_
_atom_site_label
_atom_site_fract_x
_atom_site_fract_y
_atom_site_fract_z
Ba1 0.937 0.437 0.000
Ba2 0.437 0.937 0.000
Ba3 0.192 0.192 0.511
Ba4 0.682 0.682 0.489
Te1 0.187 0.687 0.500
Te2 0.687 0.187 0.500
I1 0.937 0.937 0.000
Br1 0.437 0.437 0.000

# Pr2Sb3AsPt4, relaxed, DFT PBE-GGA
# Calculated total energy: -5.919 eV/atom
# ΔE_f (raw): -0.8447 eV/atom
data_Pr2Sb3AsPt4
_space_group_name_H-M_alt 'P 1'
_space_group_IT_number 1
_space_group_name_Hall 'P 1'
_cell_length_a 4.674
_cell_length_b 4.674
_cell_length_c 10.259
_cell_angle_alpha 90.00
_cell_angle_beta 90.00
_cell_angle_gamma 90.00
loop_
_atom_site_label
_atom_site_fract_x
_atom_site_fract_y
_atom_site_fract_z
Pr1 0.500 0.000 0.248
Pr2 0.000 0.500 0.752
Sb1 0.000 0.000 0.500
Sb2 0.500 0.000 0.870
Sb3 0.000 0.500 0.130
As1 0.500 0.500 0.500
Pt1 0.500 0.500 0.000
Pt2 0.000 0.000 0.000
Pt3 0.500 0.000 0.616
Pt4 0.000 0.500 0.384